A relaxed NiGe2F crystal, computed with GGA+U.

Cell lengths 5.0285, 5.0285, 11.5826 Å; angles 90.00, 90.00, 90.00 degrees
Fractional coordinates of all 16 atoms:
Ni 0.0000 0.0000 0.0000
Ni 0.0000 0.5000 0.2500
Ni 0.5000 0.0000 0.7500
Ni 0.5000 0.5000 0.5000
Ge 0.2313 0.2500 0.1250
Ge 0.2500 0.7313 0.3750
Ge 0.2500 0.7687 0.8750
Ge 0.2687 0.2500 0.6250
Ge 0.7313 0.7500 0.6250
Ge 0.7500 0.2313 0.8750
Ge 0.7500 0.2687 0.3750
Ge 0.7687 0.7500 0.1250
F 0.0000 0.0000 0.5000
F 0.0000 0.5000 0.7500
F 0.5000 0.0000 0.2500
F 0.5000 0.5000 0.0000

The calculation puts the polymorph energy (0 for the lowest one) at 55 meV/atom. As for the space group: No. 122.